Entry 1:
VASP calculation (GGA-PBE) on a relaxed structure of Cs6RbAgO.

The structure in POSCAR format:
```
Cs6RbAgO
1.0
-6.046 6.218 8.392
6.046 -6.218 8.392
6.046 6.218 -8.392
Cs Rb Ag O
12 2 2 2
Direct
0.041 0.791 0.250
0.045 0.400 0.186
0.045 0.859 0.645
0.286 0.141 0.686
0.286 0.600 0.145
0.372 0.122 0.250
0.628 0.878 0.750
0.714 0.400 0.855
0.714 0.859 0.314
0.955 0.141 0.355
0.955 0.600 0.814
0.959 0.209 0.750
0.351 0.601 0.750
0.649 0.399 0.250
0.000 0.000 0.000
0.500 0.000 0.500
0.000 0.000 0.500
0.000 0.500 0.000
```

Summary:
- Raw total energy: -1.85 eV/atom
- Size of the total moment: 0.00 μB per formula unit
- Fermi-level density of states: 6.4 states/eV/f.u.

Entry 2:
VASP calculation (GGA-PBE) on a relaxed structure of YGa2Ir.

The structure in POSCAR format:
```
YGa2Ir
1.0
-2.242 2.242 8.764
2.242 -2.242 8.764
2.242 2.242 -8.764
Y Ga Ir
2 4 2
Direct
0.000 0.000 0.000
0.750 0.250 0.500
0.273 0.625 0.148
0.375 0.523 0.648
0.477 0.125 0.852
0.875 0.727 0.352
0.250 0.750 0.500
0.500 0.500 0.000
```

Summary:
- Size of the total moment: 0.00 μB per formula unit
- ΔH_f (0 K): -0.27 eV/atom
- Fermi-level density of states: 3.3 states/eV/f.u.